[1]
# TlIn2Se (GGA-PBE, optimized geometry)
# - DOS(E_F): 1.52 states/eV/cell
# - Formation energy without anion corrections: -17.3 kJ/mol of atoms
data_TlIn2Se
_cell_length_a 5.173
_cell_length_b 3.972
_cell_length_c 6.306
_cell_angle_alpha 90.00
_cell_angle_beta 113.72
_cell_angle_gamma 90.00
_space_group_name_H-M_alt 'P 1 m 1'
_space_group_IT_number 6
loop_
_space_group_symop_operation_xyz
'x,y,z'
'x,-y,z'
loop_
_atom_site_label
_atom_site_type_symbol
_atom_site_fract_x
_atom_site_fract_y
_atom_site_fract_z
Tl1 Tl 0.000 0.000 0.000
In1 In 0.270 0.500 0.562
In2 In 0.704 0.000 0.434
Se1 Se 0.536 0.500 0.065


[2]
# Tl3InSe2 (GGA-PBE, optimized geometry)
# - DOS(E_F): 2.14 states/eV/cell
# - Formation energy without anion corrections: -33.3 kJ/mol of atoms
data_Tl3InSe2
_cell_length_a 17.620
_cell_length_b 4.306
_cell_length_c 12.801
_cell_angle_alpha 90.00
_cell_angle_beta 123.87
_cell_angle_gamma 90.00
_space_group_name_H-M_alt 'C 1 2/m 1'
_space_group_IT_number 12
loop_
_space_group_symop_operation_xyz
'x,y,z'
'-x,-y,-z'
'-x,y,-z'
'x,-y,z'
'x+1/2,y+1/2,z'
'-x+1/2,-y+1/2,-z'
'-x+1/2,y+1/2,-z'
'x+1/2,-y+1/2,z'
loop_
_atom_site_label
_atom_site_type_symbol
_atom_site_fract_x
_atom_site_fract_y
_atom_site_fract_z
Tl1 Tl 0.062 0.000 0.181
Tl2 Tl 0.173 0.500 0.056
Tl3 Tl 0.188 0.000 0.586
In1 In 0.060 0.500 0.665
Se1 Se 0.120 0.500 0.379
Se2 Se 0.126 0.000 0.856


[3]
# TlIn5Se7 (GGA-PBE, optimized geometry)
# - DOS(E_F): 0.01 states/eV/cell
# - Formation energy without anion corrections: -48.8 kJ/mol of atoms
data_TlIn5Se7
_cell_length_a 9.614
_cell_length_b 4.133
_cell_length_c 18.257
_cell_angle_alpha 90.00
_cell_angle_beta 101.08
_cell_angle_gamma 90.00
_space_group_name_H-M_alt 'P 1 21/m 1'
_space_group_IT_number 11
loop_
_space_group_symop_operation_xyz
'x,y,z'
'-x,-y,-z'
'-x,y+1/2,-z'
'x,-y+1/2,z'
loop_
_atom_site_label
_atom_site_type_symbol
_atom_site_fract_x
_atom_site_fract_y
_atom_site_fract_z
Tl1 Tl 0.020 0.250 0.227
In1 In 0.148 0.750 0.453
In2 In 0.170 0.250 0.034
In3 In 0.320 0.750 0.686
In4 In 0.431 0.250 0.376
In5 In 0.481 0.250 0.899
Se1 Se 0.029 0.750 0.091
Se2 Se 0.057 0.750 0.590
Se3 Se 0.255 0.750 0.323
Se4 Se 0.264 0.250 0.771
Se5 Se 0.330 0.750 0.966
Se6 Se 0.336 0.250 0.505
Se7 Se 0.381 0.250 0.154


[4]
# Tl3In5Se8 (GGA-PBE, optimized geometry)
# - DOS(E_F): 0.01 states/eV/cell
# - Formation energy without anion corrections: -48.8 kJ/mol of atoms
data_Tl3In5Se8
_cell_length_a 8.228
_cell_length_b 8.228
_cell_length_c 6.939
_cell_angle_alpha 90.00
_cell_angle_beta 90.00
_cell_angle_gamma 90.00
_space_group_name_H-M_alt 'P 4 2 2'
_space_group_IT_number 89
loop_
_space_group_symop_operation_xyz
'x,y,z'
'-y,x,z'
'-x,-y,z'
'y,-x,z'
'x,-y,-z'
'-y,-x,-z'
'-x,y,-z'
'y,x,-z'
loop_
_atom_site_label
_atom_site_type_symbol
_atom_site_fract_x
_atom_site_fract_y
_atom_site_fract_z
Tl1 Tl 0.000 0.000 0.000
Tl2 Tl 0.000 0.000 0.500
Tl3 Tl 0.500 0.500 0.000
In1 In 0.000 0.500 0.000
In2 In 0.000 0.500 0.500
In3 In 0.500 0.500 0.500
Se1 Se 0.173 0.329 0.750